1.
DFT (PBE) results for crystalline GaH2Br at its relaxed geometry.

Unit cell a=3.7878 b=5.1071 c=8.7111 alpha=90.00 beta=90.00 gamma=89.99
Sites, in units of the cell vectors:
Br (0.0003, 0.6710, 0.2500)
Br (0.9997, 0.3290, 0.7500)
H (0.4996, 0.7708, 0.5855)
H (0.5004, 0.2292, 0.4145)
H (0.4996, 0.7708, 0.9145)
H (0.5004, 0.2292, 0.0855)
Ga (0.4995, 0.6589, 0.7500)
Ga (0.5005, 0.3411, 0.2500)

Summary:
**Total energy**: -0.2243 Ry/atom
**Energy relative to the lowest polymorph listed for this composition**: 11 meV per atom

---

2.
DFT (PBE) results for crystalline FeTcTe2 at its relaxed geometry.

Unit cell a=9.8432 b=9.8432 c=9.8432 alpha=19.42 beta=19.42 gamma=19.42
Last column: magnetic moment on the atom in μB.
Sites, in units of the cell vectors:
Te (0.0304, 0.0304, 0.0304)  -0.05
Te (0.2185, 0.2185, 0.2185)  -0.11
Fe (0.4902, 0.4902, 0.4902)  2.48
Tc (0.7609, 0.7609, 0.7609)  0.28

Summary:
**Total energy**: -0.4389 Ry/atom
**Energy relative to the lowest polymorph listed for this composition**: 319 meV per atom
**ΔE_f (raw)**: 0.306 eV/atom

---

3.
DFT (PBE) results for crystalline NbAsP2Cl at its relaxed geometry.

Unit cell a=4.9275 b=4.9275 c=4.6890 alpha=90.00 beta=90.00 gamma=90.00
Last column: magnetic moment on the atom in μB.
Sites, in units of the cell vectors:
Cl (0.0000, 0.0000, 0.5000)  0.01
P (0.0000, 0.5000, 0.0000)  -0.06
P (0.5000, 0.0000, 0.0000)  -0.06
Nb (0.0000, 0.0000, 0.0000)  0.19
As (0.5000, 0.5000, 0.5000)  0.39

Summary:
**Total energy**: -0.3727 Ry/atom
**Energy relative to the lowest polymorph listed for this composition**: 0 meV per atom
**ΔE_f (raw)**: 0.406 eV/atom

---

4.
DFT (PBE) results for crystalline CaNi2W at its relaxed geometry.

Unit cell a=5.2063 b=5.2063 c=5.2063 alpha=137.99 beta=137.99 gamma=60.92
Sites, in units of the cell vectors:
W (0.5000, 0.5000, 0.0000)
Ni (0.2500, 0.7500, 0.5000)
Ni (0.0000, 0.0000, 0.0000)
Ca (0.7500, 0.2500, 0.5000)

Summary:
**Formation energy**: 0.6541 eV/atom
**Total energy**: -0.4392 Ry/atom
**Energy relative to the lowest polymorph listed for this composition**: 498 meV per atom

---

5.
DFT (PBE) results for crystalline Zr8Co3Cu at its relaxed geometry.

Unit cell a=5.3308 b=5.3308 c=9.0335 alpha=90.00 beta=90.00 gamma=119.41
Sites, in units of the cell vectors:
Zr (0.1626, 0.3316, 0.2574)
Zr (0.0000, 0.5000, 0.5830)
Zr (0.8374, 0.6684, 0.2574)
Zr (0.6684, 0.8374, 0.7426)
Zr (0.3316, 0.1626, 0.7426)
Zr (0.5000, 0.0000, 0.0835)
Zr (0.5000, 0.0000, 0.4170)
Zr (0.0000, 0.5000, 0.9165)
Cu (0.5000, 0.5000, 0.0000)
Co (0.0000, 0.0000, 0.0000)
Co (0.0000, 0.0000, 0.5000)
Co (0.5000, 0.5000, 0.5000)

Summary:
**Formation energy**: -0.2149 eV/atom
**Total energy**: -0.5903 Ry/atom

---

6.
DFT (PBE) results for crystalline La2PrP3Rh12 at its relaxed geometry.

Unit cell a=6.8156 b=6.8156 c=6.8156 alpha=82.47 beta=82.47 gamma=82.47
Sites, in units of the cell vectors:
La (0.6178, 0.6178, 0.6178)
La (0.3822, 0.3822, 0.3822)
P (0.0000, 0.0000, 0.5000)
P (0.0000, 0.5000, 0.0000)
P (0.5000, 0.0000, 0.0000)
Rh (0.6502, 0.1799, 0.1799)
Rh (0.6468, 0.0849, 0.6468)
Rh (0.3532, 0.3532, 0.9151)
Rh (0.0849, 0.6468, 0.6468)
Rh (0.1799, 0.1799, 0.6502)
Rh (0.3532, 0.9151, 0.3532)
Rh (0.8201, 0.8201, 0.3498)
Rh (0.1799, 0.6502, 0.1799)
Rh (0.8201, 0.3498, 0.8201)
Rh (0.3498, 0.8201, 0.8201)
Rh (0.9151, 0.3532, 0.3532)
Rh (0.6468, 0.6468, 0.0849)
Pr (0.0000, 0.0000, 0.0000)

Summary:
**Formation energy**: -0.3465 eV/atom
**Total energy**: -0.5117 Ry/atom

---

7.
DFT (PBE) results for crystalline Zr2ScTa at its relaxed geometry.

Unit cell a=4.9162 b=3.0512 c=6.0180 alpha=75.23 beta=90.00 gamma=90.00
Sites, in units of the cell vectors:
Ta (0.5000, 0.9390, 0.7434)
Zr (0.0000, 0.8140, 0.9995)
Zr (0.5000, 0.1950, 0.2367)
Sc (0.0000, 0.5520, 0.5204)

Summary:
**Formation energy**: 0.0991 eV/atom
**Total energy**: -0.6410 Ry/atom

---

8.
DFT (PBE) results for crystalline CaFe2Re at its relaxed geometry.

Unit cell a=5.2513 b=5.2513 c=5.2513 alpha=146.09 beta=124.58 gamma=66.58
Last column: magnetic moment on the atom in μB.
Sites, in units of the cell vectors:
Fe (0.5304, 0.5304, 0.0000)  2.10
Fe (0.9696, 0.9696, 0.0000)  2.10
Re (0.7500, 0.2500, 0.5000)  -0.34
Ca (0.2500, 0.7500, 0.5000)  -0.03

Summary:
**Formation energy**: 0.7515 eV/atom
**Total energy**: -0.5213 Ry/atom

---

9.
DFT (PBE) results for crystalline MgInAu2 at its relaxed geometry.

Unit cell a=4.0186 b=4.0186 c=6.8146 alpha=72.85 beta=72.85 gamma=60.00
Sites, in units of the cell vectors:
In (0.4978, 0.4978, 0.5067)
Au (0.2557, 0.2557, 0.2328)
Au (0.0782, 0.0782, 0.7654)
Mg (0.6683, 0.6683, 0.9951)

Summary:
**Formation energy**: -0.2536 eV/atom
**Total energy**: -0.2187 Ry/atom

---

10.
DFT (PBE) results for crystalline GeTeO2 at its relaxed geometry.

Unit cell a=4.2872 b=4.2872 c=4.2872 alpha=60.00 beta=60.00 gamma=60.00
Sites, in units of the cell vectors:
Te (0.5000, 0.5000, 0.5000)
Ge (0.0000, 0.0000, 0.0000)
O (0.2500, 0.2500, 0.2500)
O (0.7500, 0.7500, 0.7500)

Summary:
**Total energy**: -0.3158 Ry/atom
**Energy relative to the lowest polymorph listed for this composition**: 1061 meV per atom
**ΔE_f (raw)**: 0.122 eV/atom

---

11.
DFT (PBE) results for crystalline PuFeTc at its relaxed geometry.

Unit cell a=5.7372 b=5.7372 c=11.0534 alpha=90.00 beta=90.00 gamma=120.00
Last column: magnetic moment on the atom in μB.
Sites, in units of the cell vectors:
Fe (0.3877, 0.6123, 0.5000)  -1.31
Fe (0.6123, 0.2246, 0.1667)  -1.31
Fe (0.6123, 0.3877, 0.5000)  -1.31
Fe (0.7754, 0.3877, 0.8333)  -1.31
Fe (0.2246, 0.6123, 0.8333)  -1.31
Fe (0.3877, 0.7754, 0.1667)  -1.31
Pu (0.5000, 0.5000, 0.7307)  4.45
Pu (0.5000, 0.0000, 0.9360)  4.45
Pu (0.5000, 0.5000, 0.2693)  4.45
Pu (0.0000, 0.5000, 0.6027)  4.45
Pu (0.5000, 0.0000, 0.3973)  4.45
Pu (0.0000, 0.5000, 0.0640)  4.45
Tc (0.5000, 0.5000, 0.0000)  -1.06
Tc (0.0000, 0.0000, 0.5000)  -1.90
Tc (0.0000, 0.5000, 0.3333)  -1.06
Tc (0.0000, 0.0000, 0.8333)  -1.90
Tc (0.0000, 0.0000, 0.1667)  -1.90
Tc (0.5000, 0.0000, 0.6667)  -1.06

Summary:
**Formation energy**: 0.5796 eV/atom
**Total energy**: -0.7698 Ry/atom
**Energy relative to the lowest polymorph listed for this composition**: 569 meV per atom

---

12.
DFT (PBE) results for crystalline IrIBr3 at its relaxed geometry.

Unit cell a=7.3626 b=7.3666 c=7.3905 alpha=90.00 beta=90.00 gamma=62.82
Sites, in units of the cell vectors:
Br (0.0033, 0.7598, 0.3024)
Br (0.9749, 0.1773, 0.5524)
Br (0.5572, 0.2059, 0.8024)
Br (0.5572, 0.2059, 0.3024)
Br (0.5857, 0.7884, 0.0524)
Br (0.0033, 0.7598, 0.8024)
Ir (0.7822, 0.9848, 0.0524)
Ir (0.7784, 0.9809, 0.5524)
I (0.9903, 0.1927, 0.0524)
I (0.5703, 0.7730, 0.5524)

Summary:
**Total energy**: -0.2359 Ry/atom
**Energy relative to the lowest polymorph listed for this composition**: 11 meV per atom
**ΔE_f (raw)**: -0.124 eV/atom

---

Question: Which of these has the lowest total energy?
Answer: PuFeTc